MnRuN2F, optimized geometry, DFT PBE+U; magnetic moment = 0.32 μB per formula unit; density = 5972 kg/m³; relative energy among the computed polymorphs = 0.571 eV per atom
1.0
3.884 0.000 0.000
0.000 3.884 0.000
0.000 0.000 3.743
Mn Ru N F
1 1 2 1
Direct
0.000 0.000 0.000
0.500 0.500 0.500
0.000 0.500 0.000
0.500 0.000 0.000
0.000 0.000 0.500